(1)
Material: Ca6Si6O19
Method: DFT, meta-GGA SCAN
State: PBEsol geometry

Cell: 6.9573 7.3853 8.7810 Å, 77.94 90.53 89.97°
Last column: nearest neighbours and their distance in Å.
Atoms (fractional coordinates):
O 0.2128 0.0517 0.2949  1 Si 1.60
O 0.8335 0.3601 0.0461  1 Si 1.63
O 0.8791 0.7850 0.3506  1 Si 1.62
O 0.1939 0.5554 0.2900  3 Ca 2.26-2.29
O 0.4771 0.7532 0.7726  2 Si 1.64-1.66
O 0.5229 0.2468 0.2274  2 Si 1.64-1.66
O 0.1684 0.1339 0.9556  1 Si 1.63
O 0.5000 0.0000 0.5000  2 Si 1.61
O 0.3484 0.4271 0.7937  2 Si 1.64
O 0.6516 0.5729 0.2063  2 Si 1.64
O 0.1665 0.6399 0.9539  1 Si 1.63
O 0.1209 0.7114 0.6483  1 Si 1.62
O 0.4771 0.1108 0.7730  2 Si 1.64-1.66
O 0.8061 0.4446 0.7100  3 Ca 2.26-2.29
O 0.1209 0.2150 0.6494  1 Si 1.62
O 0.7872 0.9483 0.7051  1 Si 1.60
O 0.8316 0.8661 0.0444  1 Si 1.63
O 0.8791 0.2886 0.3517  1 Si 1.62
O 0.5229 0.8892 0.2270  2 Si 1.64-1.66
Si 0.5585 0.9547 0.6823  4 O 1.60-1.64
Si 0.4415 0.0453 0.3177  4 O 1.60-1.64
Si 0.7286 0.7818 0.2096  4 O 1.62-1.66
Si 0.7288 0.3622 0.2108  4 O 1.62-1.66
Si 0.2714 0.2182 0.7904  4 O 1.62-1.66
Si 0.2712 0.6378 0.7892  4 O 1.62-1.66
Ca 0.1600 0.3438 0.1343  5 O 2.29-2.43
Ca 0.1599 0.8420 0.1297  5 O 2.29-2.39
Ca 0.8401 0.1580 0.8703  5 O 2.29-2.39
Ca 0.0000 0.0000 0.5000  6 O 2.31-2.41
Ca 0.0000 0.5000 0.5000  6 O 2.26-2.38
Ca 0.8400 0.6562 0.8657  5 O 2.29-2.43

Computed properties:
space-group type	P-1
ΔE_f (raw)	-95.99	eV/f.u.

=====

(2)
Material: NaTeMoI2
Method: DFT, meta-GGA SCAN
State: PBEsol geometry

Cell: 5.5242 5.5242 5.6185 Å, 90.00 90.00 90.00°
Last column: nearest neighbours and their distance in Å.
Atoms (fractional coordinates):
Te 0.0000 0.0000 0.5000  2 Na 2.81
Na 0.0000 0.0000 0.0000  4 I 2.76, 2 Te 2.81
I 0.0000 0.5000 0.0000  2 Na 2.76
I 0.5000 0.0000 0.0000  2 Na 2.76
Mo 0.5000 0.5000 0.5000  4 Te 3.91, 8 I 3.94

Computed properties:
space-group type	P4/mmm
ΔE_f (raw)	3.65	eV/f.u.

=====

(3)
Material: NaAs2SCl
Method: DFT, meta-GGA SCAN
State: PBEsol geometry

Cell: 4.8815 4.8934 4.8934 Å, 90.00 90.00 90.00°
Last column: nearest neighbours and their distance in Å.
Atoms (fractional coordinates):
Na 0.5000 0.5000 0.5000  8 As 3.46, 4 S 3.46
S 0.5000 0.0000 0.0000  2 Cl 2.44
Cl 0.0000 0.0000 0.0000  2 S 2.44, 4 As 2.45
As 0.0000 0.0000 0.5000  2 Cl 2.45
As 0.0000 0.5000 0.0000  2 Cl 2.45

Computed properties:
space-group type	P4/mmm
ΔE_f (raw)	3.51	eV/f.u.

=====

(4)
Material: YBeFe2
Method: DFT, meta-GGA SCAN
State: PBEsol geometry

Cell: 3.8002 3.8002 5.2117 Å, 68.62 68.62 60.00°
Last column: nearest neighbours and their distance in Å.
Atoms (fractional coordinates):
Y 0.5033 0.5033 0.4900  4 Be 2.71-2.98, 4 Fe 2.74-2.96
Fe 0.9975 0.9975 0.0076  3 Fe 2.21, 3 Be 2.23
Fe 0.3102 0.3102 0.0693  3 Fe 2.21, 3 Be 2.31
Be 0.6941 0.6941 0.9177  6 Fe 2.23-2.31

Computed properties:
space-group type	R3m
energy relative to the elements	-0.023	eV per atom

=====

(5)
Material: MgSiW2
Method: DFT, meta-GGA SCAN
State: PBEsol geometry

Cell: 4.3841 4.3841 4.3841 Å, 89.91 60.05 119.95°
Last column: nearest neighbours and their distance in Å.
Atoms (fractional coordinates):
W 0.0000 0.0000 0.0000  4 W 2.69, 4 Si 2.69
W 0.5000 0.2500 0.2500  4 Mg 2.69, 4 W 2.69
Mg 0.0000 0.5000 0.5000  4 W 2.69, 4 Si 2.69
Si 0.5000 0.7500 0.7500  4 W 2.69, 4 Mg 2.69

Computed properties:
space-group type	I-4m2
ΔE_f (raw)	0.84	eV/f.u.

=====

(6)
Material: Ba2AlI
Method: DFT, meta-GGA SCAN
State: PBEsol geometry

Cell: 7.7059 7.7059 7.7059 Å, 111.62 108.41 108.41°
Last column: nearest neighbours and their distance in Å.
Atoms (fractional coordinates):
Ba 0.5067 0.3750 0.3817  2 Al 3.33, 2 I 3.41
Ba 0.0067 0.1317 0.6250  2 Al 3.33, 2 I 3.41
Ba 0.9933 0.6183 0.1250  2 Al 3.33, 2 I 3.41
Ba 0.4933 0.8750 0.8683  2 Al 3.33, 2 I 3.41
I 0.5000 0.7500 0.2500  4 Ba 3.41
I 0.0000 0.0000 0.0000  4 Ba 3.41
Al 0.5000 0.2500 0.7500  4 Ba 3.33
Al 0.0000 0.5000 0.5000  4 Ba 3.33

Computed properties:
space-group type	I-42d
ΔE_f (raw)	-1.93	eV/f.u.

=====

(7)
Material: BeZnPb2
Method: DFT, meta-GGA SCAN
State: PBEsol geometry

Cell: 3.6722 4.8209 4.8209 Å, 90.00 90.00 90.00°
Last column: nearest neighbours and their distance in Å.
Atoms (fractional coordinates):
Be 0.5000 0.0000 0.0000  8 Pb 3.03
Zn 0.5000 0.5000 0.5000  8 Pb 3.03
Pb 0.0000 0.0000 0.5000  4 Be 3.03, 4 Zn 3.03
Pb 0.0000 0.5000 0.0000  4 Be 3.03, 4 Zn 3.03

Computed properties:
space-group type	P4/mmm
energy relative to the elements	0.543	eV per atom

=====

(8)
Material: Be2ZnRu
Method: DFT, meta-GGA SCAN
State: PBEsol geometry

Cell: 2.5561 2.5561 7.6995 Å, 90.00 90.00 114.35°
Last column: nearest neighbours and their distance in Å.
Atoms (fractional coordinates):
Be 0.0000 0.0000 0.9831  2 Be 2.23, 2 Zn 2.40
Be 0.5000 0.5000 0.7561  2 Be 2.23, 2 Ru 2.27
Zn 0.5000 0.5000 0.2376  2 Be 2.40, 4 Zn 2.56, 2 Ru 2.60
Ru 0.0000 0.0000 0.5232  2 Be 2.27

Computed properties:
space-group type	Cmm2
energy relative to the elements	0.176	eV per atom

=====

(9)
Material: RbAlO2
Method: DFT, meta-GGA SCAN
State: PBEsol geometry

Cell: 5.6872 5.6872 5.6872 Å, 60.00 60.00 60.00°
Last column: nearest neighbours and their distance in Å.
Atoms (fractional coordinates):
O 0.1250 0.1250 0.6250  2 Al 1.74
O 0.1250 0.1250 0.1250  2 Al 1.74
O 0.6250 0.1250 0.1250  2 Al 1.74
O 0.1250 0.6250 0.1250  2 Al 1.74
Al 0.2500 0.2500 0.2500  4 O 1.74
Al 0.0000 0.0000 0.0000  4 O 1.74
Rb 0.7500 0.7500 0.7500  12 O 3.33, 4 Al 3.48, 4 Rb 3.48
Rb 0.5000 0.5000 0.5000  12 O 3.33, 4 Al 3.48, 4 Rb 3.48

Computed properties:
space-group type	Fd-3m
ΔE_f (raw)	-11.24	eV/f.u.

=====

(10)
Material: In2TcSe
Method: DFT, meta-GGA SCAN
State: PBEsol geometry

Cell: 3.0694 3.0694 8.5724 Å, 90.00 90.00 90.00°
Last column: nearest neighbours and their distance in Å.
Atoms (fractional coordinates):
In 0.5000 0.5000 0.2502  8 In 3.07-3.34
In 0.0000 0.0000 0.9533  4 Tc 2.94, 4 In 3.07, 1 Se 3.25
Tc 0.5000 0.5000 0.7218  4 Se 2.51
Se 0.0000 0.0000 0.5747  4 Tc 2.51

Computed properties:
space-group type	P4mm
ΔE_f (raw)	-0.04	eV/f.u.

=====

(11)
Material: Co2TcNCl
Method: DFT, meta-GGA SCAN
State: PBEsol geometry

Cell: 3.9255 3.9255 4.0653 Å, 90.00 90.00 90.00°
Last column: nearest neighbours and their distance in Å.
Atoms (fractional coordinates):
Tc 0.5000 0.5000 0.5000  4 N 2.78, 8 Co 2.83
Co 0.5000 0.0000 0.0000  2 Cl 1.96
Co 0.0000 0.5000 0.0000  2 Cl 1.96
Cl 0.0000 0.0000 0.0000  4 Co 1.96, 2 N 2.03
N 0.0000 0.0000 0.5000  2 Cl 2.03

Computed properties:
space-group type	P4/mmm
ΔE_f (raw)	9.54	eV/f.u.

=====

(12)
Material: BeAg2BPb
Method: DFT, meta-GGA SCAN
State: PBEsol geometry

Cell: 4.2782 5.3038 5.3038 Å, 90.00 90.00 90.00°
Last column: nearest neighbours and their distance in Å.
Atoms (fractional coordinates):
Ag 0.0000 0.5000 0.0000  2 Pb 2.65
Ag 0.0000 0.0000 0.5000  2 Pb 2.65
B 0.5000 0.0000 0.0000  2 Pb 2.14
Be 0.5000 0.5000 0.5000  8 Ag 3.41, 4 B 3.75
Pb 0.0000 0.0000 0.0000  2 B 2.14

Computed properties:
space-group type	P4/mmm
energy relative to the elements	1.751	eV per atom

=====

(13)
Material: InIr2Se
Method: DFT, meta-GGA SCAN
State: PBEsol geometry

Cell: 3.5218 4.2872 4.2872 Å, 90.00 90.00 90.00°
Last column: nearest neighbours and their distance in Å.
Atoms (fractional coordinates):
In 0.5000 0.0000 0.0000  8 Ir 2.77, 4 Se 3.03
Se 0.5000 0.5000 0.5000  8 Ir 2.77, 4 In 3.03
Ir 0.0000 0.0000 0.5000  4 In 2.77, 4 Se 2.77, 4 Ir 3.03
Ir 0.0000 0.5000 0.0000  4 In 2.77, 4 Se 2.77, 4 Ir 3.03

Computed properties:
space-group type	P4/mmm
ΔE_f (raw)	1.70	eV/f.u.

=====

(14)
Material: MgPPt2C
Method: DFT, meta-GGA SCAN
State: PBEsol geometry

Cell: 4.0387 4.0387 4.4810 Å, 90.00 90.00 90.00°
Last column: nearest neighbours and their distance in Å.
Atoms (fractional coordinates):
Mg 0.0000 0.0000 0.5000  2 C 2.24
C 0.0000 0.0000 0.0000  4 Pt 2.02, 2 Mg 2.24
P 0.5000 0.5000 0.5000  4 Mg 2.86, 8 Pt 3.02
Pt 0.5000 0.0000 0.0000  2 C 2.02
Pt 0.0000 0.5000 0.0000  2 C 2.02

Computed properties:
space-group type	P4/mmm
energy relative to the elements	0.362	eV per atom

=====

(15)
Material: La3Mg
Method: DFT, meta-GGA SCAN
State: PBEsol geometry

Cell: 3.6105 6.0180 6.0180 Å, 105.58 90.00 90.00°
Last column: nearest neighbours and their distance in Å.
Atoms (fractional coordinates):
Mg 0.0000 0.0000 0.0000  10 La 3.51-3.64, 2 Mg 3.61
La 0.0000 0.5000 0.5000  10 La 3.51-3.61, 2 Mg 3.64
La 0.5000 0.0000 0.5000  8 La 3.51-3.64, 4 Mg 3.51
La 0.5000 0.5000 0.0000  4 Mg 3.51, 8 La 3.51-3.64

Computed properties:
space-group type	Cmmm
energy relative to the elements	-0.025	eV per atom

=====

(16)
Material: Fe2Cu6SnS8
Method: DFT, meta-GGA SCAN
State: PBEsol geometry

Cell: 5.1635 7.4899 7.4899 Å, 90.00 90.00 90.00°
Last column: nearest neighbours and their distance in Å.
Atoms (fractional coordinates):
S 0.2427 0.2610 0.5000  2 Fe 2.19-2.23, 3 Cu 2.28-2.29
S 0.2627 0.7316 0.0000  3 Cu 2.24-2.25, 1 Sn 2.42
S 0.7373 0.0000 0.2684  3 Cu 2.24-2.25, 1 Sn 2.42
S 0.7573 0.5000 0.2610  2 Fe 2.19-2.23, 3 Cu 2.28-2.29
S 0.2627 0.2684 0.0000  3 Cu 2.24-2.25, 1 Sn 2.42
S 0.7373 0.0000 0.7316  3 Cu 2.24-2.25, 1 Sn 2.42
S 0.2427 0.7390 0.5000  2 Fe 2.19-2.23, 3 Cu 2.28-2.29
S 0.7573 0.5000 0.7390  2 Fe 2.19-2.23, 3 Cu 2.28-2.29
Cu 0.5000 0.7480 0.7480  4 S 2.25-2.28
Cu 0.5000 0.2520 0.7480  4 S 2.25-2.28
Cu 0.9879 0.5000 0.0000  4 S 2.24-2.29
Cu 0.5000 0.7480 0.2520  4 S 2.25-2.28
Cu 0.0121 0.0000 0.5000  4 S 2.24-2.29
Cu 0.5000 0.2520 0.2520  4 S 2.25-2.28
Fe 0.0000 0.5000 0.5000  4 S 2.19
Fe 0.5000 0.5000 0.5000  4 S 2.23
Sn 0.0000 0.0000 0.0000  4 S 2.42

Computed properties:
space-group type	P-4m2
ΔE_f (raw)	-7.22	eV/f.u.

=====

(17)
Material: Ca2LaOs
Method: DFT, meta-GGA SCAN
State: PBEsol geometry

Cell: 3.4463 4.5791 6.2292 Å, 90.00 90.00 90.00°
Last column: nearest neighbours and their distance in Å.
Atoms (fractional coordinates):
Os 0.5000 0.5000 0.5000  2 La 3.11, 8 Ca 3.16, 2 Os 3.45
Ca 0.0000 0.0000 0.2863  1 Ca 2.66
Ca 0.0000 0.0000 0.7137  1 Ca 2.66
La 0.5000 0.5000 0.0000  2 Os 3.11, 8 Ca 3.38, 2 La 3.45

Computed properties:
space-group type	Pmmm
energy relative to the elements	0.499	eV per atom

=====

(18)
Material: YBeTl3
Method: DFT, meta-GGA SCAN
State: PBEsol geometry

Cell: 5.8289 5.8289 5.8289 Å, 90.00 90.00 90.00°
Last column: nearest neighbours and their distance in Å.
Atoms (fractional coordinates):
Tl 0.0000 0.0000 0.5000  2 Y 2.91
Tl 0.5000 0.0000 0.0000  2 Y 2.91
Tl 0.0000 0.5000 0.0000  2 Y 2.91
Be 0.5000 0.5000 0.5000  12 Tl 4.12
Y 0.0000 0.0000 0.0000  6 Tl 2.91

Computed properties:
space-group type	Pm-3m
energy relative to the elements	1.031	eV per atom

=====

(19)
Material: TcNi2Os
Method: DFT, meta-GGA SCAN
State: PBEsol geometry

Cell: 3.6283 3.6283 4.5056 Å, 113.74 113.74 90.00°
Last column: nearest neighbours and their distance in Å.
Atoms (fractional coordinates):
Os 0.0000 0.0000 0.0000  4 Tc 2.57, 8 Ni 2.59
Ni 0.7500 0.2500 0.5000  4 Ni 2.57, 4 Tc 2.59, 4 Os 2.59
Ni 0.2500 0.7500 0.5000  4 Ni 2.57, 4 Tc 2.59, 4 Os 2.59
Tc 0.5000 0.5000 0.0000  4 Os 2.57, 8 Ni 2.59

Computed properties:
space-group type	I4/mmm
energy relative to the elements	0.130	eV per atom

=====

(20)
Material: Fe2IrCl
Method: DFT, meta-GGA SCAN
State: PBEsol geometry

Cell: 2.8086 2.8468 7.1513 Å, 89.98 90.00 90.00°
Last column: nearest neighbours and their distance in Å.
Atoms (fractional coordinates):
Fe 0.0000 0.5003 0.2690  2 Cl 2.38, 4 Ir 2.59
Fe 0.0000 0.4997 0.7310  2 Cl 2.38, 4 Ir 2.59
Ir 0.5000 0.0000 0.5000  8 Fe 2.59, 4 Ir 2.81-2.85
Cl 0.5000 0.5000 0.0000  4 Fe 2.38

Computed properties:
space-group type	Pmmm
ΔE_f (raw)	-0.11	eV/f.u.

=====

(21)
Material: NaIn2W
Method: DFT, meta-GGA SCAN
State: PBEsol geometry

Cell: 4.8192 4.8192 4.8192 Å, 60.00 60.00 60.00°
Last column: nearest neighbours and their distance in Å.
Atoms (fractional coordinates):
In 0.2500 0.2500 0.2500  4 W 2.95, 4 Na 2.95
In 0.7500 0.7500 0.7500  4 Na 2.95, 4 W 2.95
Na 0.0000 0.0000 0.0000  8 In 2.95
W 0.5000 0.5000 0.5000  8 In 2.95

Computed properties:
space-group type	Fm-3m
energy relative to the elements	0.617	eV per atom

=====

(22)
Material: Ba2TiO
Method: DFT, meta-GGA SCAN
State: PBEsol geometry

Cell: 5.3772 5.3772 5.3772 Å, 60.00 60.00 60.00°
Last column: nearest neighbours and their distance in Å.
Atoms (fractional coordinates):
Ti 0.5000 0.5000 0.5000  8 Ba 3.29
Ba 0.7500 0.7500 0.7500  4 O 3.29, 4 Ti 3.29
Ba 0.2500 0.2500 0.2500  4 O 3.29, 4 Ti 3.29
O 0.0000 0.0000 0.0000  8 Ba 3.29

Computed properties:
space-group type	Fm-3m
ΔE_f (raw)	0.71	eV/f.u.

=====

(23)
Material: Zr2Zn
Method: DFT, meta-GGA SCAN
State: PBEsol geometry

Cell: 3.2356 3.2356 6.0611 Å, 105.48 105.48 90.00°
Last column: nearest neighbours and their distance in Å.
Atoms (fractional coordinates):
Zr 0.3441 0.3441 0.6881  4 Zn 2.88, 4 Zr 3.11
Zr 0.6559 0.6559 0.3119  4 Zn 2.88, 4 Zr 3.11
Zn 0.0000 0.0000 0.0000  8 Zr 2.88

Computed properties:
space-group type	I4/mmm
energy relative to the elements	-0.227	eV per atom

=====

(24)
Material: K4NaCl5
Method: DFT, meta-GGA SCAN
State: PBEsol geometry

Cell: 4.2925 6.1520 11.4785 Å, 105.54 100.78 90.00°
Last column: nearest neighbours and their distance in Å.
Atoms (fractional coordinates):
K 0.8047 0.8047 0.6094  6 Cl 3.08-3.15
K 0.4010 0.4010 0.8020  6 Cl 3.04-3.09
K 0.1953 0.1953 0.3906  6 Cl 3.08-3.15
K 0.5990 0.5990 0.1980  6 Cl 3.04-3.09
Cl 0.7983 0.2983 0.5966  6 K 3.08-3.10
Cl 0.2017 0.7017 0.4034  6 K 3.08-3.10
Cl 0.4110 0.9110 0.8219  2 Na 2.89, 4 K 3.08-3.15
Cl 0.0000 0.5000 0.0000  4 K 3.04, 2 Na 3.08
Cl 0.5890 0.0890 0.1781  2 Na 2.89, 4 K 3.08-3.15
Na 0.0000 0.0000 0.0000  6 Cl 2.89-3.08

Computed properties:
space-group type	Immm
ΔE_f (raw)	-21.36	eV/f.u.

=====

(25)
Material: MgSn2GePb
Method: DFT, meta-GGA SCAN
State: PBEsol geometry

Cell: 5.2724 5.2724 5.3749 Å, 90.00 90.00 90.00°
Last column: nearest neighbours and their distance in Å.
Atoms (fractional coordinates):
Sn 0.0000 0.5000 0.0000  2 Mg 2.64
Sn 0.5000 0.0000 0.0000  2 Mg 2.64
Pb 0.0000 0.0000 0.5000  2 Mg 2.69
Ge 0.5000 0.5000 0.5000  4 Pb 3.73, 8 Sn 3.76
Mg 0.0000 0.0000 0.0000  4 Sn 2.64, 2 Pb 2.69

Computed properties:
space-group type	P4/mmm
energy relative to the elements	0.685	eV per atom

=====

(26)
Material: NdAs2
Method: DFT, meta-GGA SCAN
State: PBEsol geometry

Cell: 4.0715 6.7913 10.0662 Å, 90.00 95.86 90.00°
Last column: nearest neighbours and their distance in Å.
Atoms (fractional coordinates):
As 0.7134 0.3549 0.1722  1 As 2.49
As 0.1837 0.6225 0.4497  2 As 2.49-2.52
As 0.2866 0.6451 0.8278  1 As 2.49
As 0.3163 0.1225 0.0503  2 As 2.49-2.52
As 0.2134 0.1451 0.6722  1 As 2.49
As 0.8163 0.3775 0.5503  2 As 2.49-2.52
As 0.7866 0.8549 0.3278  1 As 2.49
As 0.6837 0.8775 0.9497  2 As 2.49-2.52
Nd 0.2710 0.1854 0.3606  9 As 2.98-3.18
Nd 0.2290 0.6854 0.1394  9 As 2.98-3.18
Nd 0.7710 0.3146 0.8606  9 As 2.98-3.18
Nd 0.7290 0.8146 0.6394  9 As 2.98-3.18

Computed properties:
space-group type	P2_1/c
energy relative to the elements	-1.135	eV per atom